Record 1
{"formula": "WAuCl", "functional": "PBE", "state": "relaxed", "polymorph_energy_mev_per_atom": 559, "e_form_raw_ev_per_atom": 0.81, "volume_a3_per_fu": 51, "dos_ef_per_ev_cell": 2.99, "lattice": [[4.521, 0.000, 0.000], [-2.261, 3.915, 0.000], [0.000, 0.000, 2.862]], "species": ["W", "Au", "Cl"], "frac_coords": [[0.000, 0.000, 0.000], [0.667, 0.333, 0.500], [0.333, 0.667, 0.000]]}

Record 2
{"formula": "PmDy8Th2", "functional": "PBE", "state": "relaxed", "e_form_mev_per_atom": 187, "polymorph_energy_mev_per_atom": 0, "volume_a3_per_fu": 372, "dos_ef_per_ev_cell": 16.68, "lattice": [[9.513, -3.514, 0.000], [9.513, 3.514, 0.000], [-0.215, 0.000, 5.561]], "species": ["Pm", "Dy", "Dy", "Dy", "Dy", "Dy", "Dy", "Dy", "Dy", "Th", "Th"], "frac_coords": [[0.000, 0.000, 0.000], [0.138, 0.598, 0.262], [0.183, 0.183, 0.233], [0.402, 0.862, 0.738], [0.453, 0.453, 0.762], [0.547, 0.547, 0.238], [0.598, 0.138, 0.262], [0.817, 0.817, 0.767], [0.862, 0.402, 0.738], [0.282, 0.282, 0.738], [0.718, 0.718, 0.262]]}

Record 3
{"formula": "MnSi2Tc", "functional": "PBE", "state": "relaxed", "polymorph_energy_mev_per_atom": 960, "e_form_raw_ev_per_atom": 0.60, "volume_a3_per_fu": 60, "dos_ef_per_ev_cell": 2.85, "lattice": [[-1.760, 1.760, 4.871], [1.760, -1.760, 4.871], [1.760, 1.760, -4.871]], "species": ["Mn", "Si", "Si", "Tc"], "frac_coords": [[0.000, 0.000, 0.000], [0.242, 0.242, 0.000], [0.758, 0.758, 0.000], [0.500, 0.500, 0.000]]}

Record 4
{"formula": "ScCd6Hg12", "functional": "PBE", "state": "relaxed", "e_form_mev_per_atom": -22, "volume_a3_per_fu": 478, "dos_ef_per_ev_cell": 7.02, "lattice": [[7.275, 4.200, 2.607], [-7.275, 4.200, 2.607], [0.000, -8.400, 2.607]], "species": ["Sc", "Cd", "Cd", "Cd", "Cd", "Cd", "Cd", "Hg", "Hg", "Hg", "Hg", "Hg", "Hg", "Hg", "Hg", "Hg", "Hg", "Hg", "Hg"], "frac_coords": [[0.000, 0.000, 0.000], [0.187, 0.430, 0.367], [0.367, 0.187, 0.430], [0.430, 0.367, 0.187], [0.570, 0.633, 0.813], [0.633, 0.813, 0.570], [0.813, 0.570, 0.633], [0.019, 0.325, 0.939], [0.061, 0.981, 0.675], [0.148, 0.490, 0.704], [0.296, 0.852, 0.510], [0.325, 0.939, 0.019], [0.490, 0.704, 0.148], [0.510, 0.296, 0.852], [0.675, 0.061, 0.981], [0.704, 0.148, 0.490], [0.852, 0.510, 0.296], [0.939, 0.019, 0.325], [0.981, 0.675, 0.061]]}

Record 5
{"formula": "FeTcNi2", "functional": "PBE", "state": "relaxed", "e_form_mev_per_atom": 141, "polymorph_energy_mev_per_atom": 144, "volume_a3_per_fu": 50, "dos_ef_per_ev_cell": 11.69, "lattice": [[1.266, -9.309, 0.000], [1.266, 9.309, 0.000], [0.000, 0.000, 4.205]], "species": ["Fe", "Fe", "Tc", "Tc", "Ni", "Ni", "Ni", "Ni"], "frac_coords": [[0.091, 0.909, 0.750], [0.909, 0.091, 0.250], [0.278, 0.722, 0.250], [0.722, 0.278, 0.750], [0.349, 0.651, 0.750], [0.472, 0.528, 0.750], [0.528, 0.472, 0.250], [0.651, 0.349, 0.250]]}

Record 6
{"formula": "CeSiIr", "functional": "PBE", "state": "relaxed", "e_form_raw_ev_per_atom": -0.91, "volume_a3_per_fu": 63, "dos_ef_per_ev_cell": 19.59, "lattice": [[6.319, 0.000, 0.000], [0.000, 6.319, 0.000], [0.000, 0.000, 6.319]], "species": ["Ce", "Ce", "Ce", "Ce", "Si", "Si", "Si", "Si", "Ir", "Ir", "Ir", "Ir"], "frac_coords": [[0.125, 0.125, 0.125], [0.375, 0.875, 0.625], [0.625, 0.375, 0.875], [0.875, 0.625, 0.375], [0.083, 0.583, 0.917], [0.417, 0.417, 0.417], [0.583, 0.917, 0.083], [0.917, 0.083, 0.583], [0.188, 0.312, 0.688], [0.312, 0.688, 0.188], [0.688, 0.188, 0.312], [0.812, 0.812, 0.812]]}

Record 7
{"formula": "Ce3FeHg", "functional": "PBE", "state": "relaxed", "e_form_mev_per_atom": -129, "polymorph_energy_mev_per_atom": 33, "volume_a3_per_fu": 130, "dos_ef_per_ev_cell": 14.00, "lattice": [[5.069, 0.000, 0.000], [0.000, 5.069, 0.000], [0.000, 0.000, 5.069]], "species": ["Ce", "Ce", "Ce", "Fe", "Hg"], "frac_coords": [[0.000, 0.000, 0.500], [0.000, 0.500, 0.000], [0.500, 0.000, 0.000], [0.000, 0.000, 0.000], [0.500, 0.500, 0.500]]}

Record 8
{"formula": "SmDyHo2", "functional": "PBE", "state": "relaxed", "e_form_mev_per_atom": 15, "polymorph_energy_mev_per_atom": 0, "volume_a3_per_fu": 129, "dos_ef_per_ev_cell": 7.03, "lattice": [[-1.815, 5.669, 3.133], [1.815, -5.669, 3.133], [1.815, 5.669, -3.133]], "species": ["Sm", "Dy", "Ho", "Ho"], "frac_coords": [[0.000, 0.000, 0.000], [0.498, 0.998, 0.500], [0.417, 0.666, 0.751], [0.915, 0.666, 0.249]]}

Record 9
{"formula": "CdAgSe2O8", "functional": "PBE", "state": "relaxed", "e_form_raw_ev_per_atom": -0.50, "volume_a3_per_fu": 172, "dos_ef_per_ev_cell": 12.07, "lattice": [[2.580, 1.489, 7.462], [-2.580, 1.489, 7.462], [0.000, -2.979, 7.462]], "species": ["Cd", "Ag", "Se", "Se", "O", "O", "O", "O", "O", "O", "O", "O"], "frac_coords": [[0.000, 0.000, 0.000], [0.500, 0.500, 0.500], [0.248, 0.248, 0.248], [0.752, 0.752, 0.752], [0.049, 0.708, 0.430], [0.173, 0.173, 0.173], [0.292, 0.570, 0.951], [0.430, 0.049, 0.708], [0.570, 0.951, 0.292], [0.708, 0.430, 0.049], [0.827, 0.827, 0.827], [0.951, 0.292, 0.570]]}

Record 10
{"formula": "Sc5Si2Pb2", "functional": "PBE", "state": "relaxed", "e_form_raw_ev_per_atom": -0.63, "volume_a3_per_fu": 198, "dos_ef_per_ev_cell": 9.40, "lattice": [[7.303, -3.700, 0.000], [7.303, 3.700, 0.000], [0.000, 0.000, 7.311]], "species": ["Sc", "Sc", "Sc", "Sc", "Sc", "Sc", "Sc", "Sc", "Sc", "Sc", "Si", "Si", "Si", "Si", "Pb", "Pb", "Pb", "Pb"], "frac_coords": [[0.000, 0.000, 0.000], [0.051, 0.707, 0.672], [0.207, 0.551, 0.172], [0.293, 0.949, 0.672], [0.449, 0.793, 0.172], [0.500, 0.500, 0.500], [0.551, 0.207, 0.828], [0.707, 0.051, 0.328], [0.793, 0.449, 0.828], [0.949, 0.293, 0.328], [0.128, 0.872, 0.372], [0.372, 0.628, 0.872], [0.628, 0.372, 0.128], [0.872, 0.128, 0.628], [0.217, 0.217, 0.000], [0.283, 0.283, 0.500], [0.717, 0.717, 0.500], [0.783, 0.783, 0.000]]}

Record 11
{"formula": "ScFe2P", "functional": "PBE", "state": "relaxed", "e_form_mev_per_atom": -229, "volume_a3_per_fu": 54, "dos_ef_per_ev_cell": 2.74, "lattice": [[0.000, 3.002, 3.002], [3.002, 0.000, 3.002], [3.002, 3.002, 0.000]], "species": ["Sc", "Fe", "Fe", "P"], "frac_coords": [[0.000, 0.000, 0.000], [0.500, 0.500, 0.500], [0.750, 0.750, 0.750], [0.250, 0.250, 0.250]]}

Record 12
{"formula": "Sc3Tl2Ga", "functional": "PBE", "state": "relaxed", "e_form_mev_per_atom": -357, "volume_a3_per_fu": 132, "dos_ef_per_ev_cell": 4.28, "lattice": [[3.488, 0.000, 0.000], [0.000, 3.488, 0.000], [0.000, 0.000, 10.852]], "species": ["Sc", "Sc", "Sc", "Tl", "Tl", "Ga"], "frac_coords": [[0.000, 0.000, 0.000], [0.000, 0.000, 0.352], [0.000, 0.000, 0.648], [0.500, 0.500, 0.175], [0.500, 0.500, 0.825], [0.500, 0.500, 0.500]]}